w) The following is a DFT calculation (PBE) of CuSiRh3 after structural relaxation.

Unit cell a=4.4426 b=4.4426 c=4.4426 alpha=90.00 beta=90.00 gamma=90.00
Fractional coordinates of all 5 atoms:
Cu1 0.0000 0.0000 0.0000
Si1 0.5000 0.5000 0.5000
Rh1 0.0000 0.0000 0.5000
Rh2 0.0000 0.5000 0.0000
Rh3 0.5000 0.0000 0.0000

Calculated values
- Mass density: 7.58 g/cm3
- Total moment: 0.001 μB/f.u.


x) The following is a DFT calculation (PBE) of CuSiRh3 after structural relaxation.

Unit cell a=4.3841 b=4.3841 c=4.3841 alpha=90.00 beta=90.00 gamma=90.00
Fractional coordinates of all 5 atoms:
Cu1 0.0000 0.0000 0.0000
Si1 0.5000 0.5000 0.5000
Rh1 0.0000 0.5000 0.5000
Rh2 0.5000 0.0000 0.5000
Rh3 0.5000 0.5000 0.0000

Calculated values
- Mass density: 7.89 g/cm3
- Total moment: 0.041 μB/f.u.


Q: Which of them is the most stable? A: x).


w) The following is a DFT calculation (PBE) of Cu3SiRh after structural relaxation.

Unit cell a=4.5966 b=4.5966 c=4.5966 alpha=90.00 beta=90.00 gamma=90.00
Fractional coordinates of all 5 atoms:
Cu1 0.0000 0.0000 0.5000
Cu2 0.0000 0.5000 0.0000
Cu3 0.5000 0.0000 0.0000
Si1 0.5000 0.5000 0.5000
Rh1 0.0000 0.0000 0.0000

Calculated values
- Mass density: 5.50 g/cm3
- Total moment: 0.000 μB/f.u.


x) The following is a DFT calculation (PBE) of Cu3SiRh after structural relaxation.

Unit cell a=4.2729 b=4.2729 c=4.2729 alpha=90.00 beta=90.00 gamma=90.00
Fractional coordinates of all 5 atoms:
Cu1 0.0000 0.0000 0.5000
Cu2 0.0000 0.5000 0.0000
Cu3 0.5000 0.0000 0.0000
Si1 0.0000 0.0000 0.0000
Rh1 0.5000 0.5000 0.5000

Calculated values
- Mass density: 6.85 g/cm3
- Total moment: 0.000 μB/f.u.


Q: Which of them is the most stable? A: x).


w) The following is a DFT calculation (PBE) of SmCuRh2 after structural relaxation.

Unit cell a=4.1427 b=4.1427 c=3.9423 alpha=90.00 beta=90.00 gamma=90.00
Fractional coordinates of all 4 atoms:
Sm1 0.0000 0.0000 0.0000
Cu1 0.5000 0.5000 0.0000
Rh1 0.0000 0.5000 0.5000
Rh2 0.5000 0.0000 0.5000

Calculated values
- Mass density: 10.30 g/cm3
- Total moment: 0.000 μB/f.u.


x) The following is a DFT calculation (PBE) of SmCuRh2 after structural relaxation.

Unit cell a=6.4767 b=6.4767 c=6.4767 alpha=90.00 beta=90.00 gamma=90.00
Fractional coordinates of all 16 atoms:
Sm1 0.0000 0.0000 0.0000
Sm2 0.0000 0.5000 0.5000
Sm3 0.5000 0.0000 0.5000
Sm4 0.5000 0.5000 0.0000
Cu1 0.0000 0.0000 0.5000
Cu2 0.0000 0.5000 0.0000
Cu3 0.5000 0.0000 0.0000
Cu4 0.5000 0.5000 0.5000
Rh1 0.2500 0.2500 0.2500
Rh2 0.2500 0.2500 0.7500
Rh3 0.2500 0.7500 0.2500
Rh4 0.2500 0.7500 0.7500
Rh5 0.7500 0.2500 0.2500
Rh6 0.7500 0.2500 0.7500
Rh7 0.7500 0.7500 0.2500
Rh8 0.7500 0.7500 0.7500

Calculated values
- Mass density: 10.26 g/cm3
- Total moment: 0.000 μB/f.u.


Q: Which of them is the most stable? A: w).


w) The following is a DFT calculation (PBE) of Sm2Cu2Rh after structural relaxation.

Unit cell a=7.1342 b=7.1342 c=7.9764 alpha=90.00 beta=90.00 gamma=90.00
Fractional coordinates of all 20 atoms:
Sm1 0.1805 0.3123 0.0000
Sm2 0.1877 0.3195 0.5000
Sm3 0.3123 0.8195 0.0000
Sm4 0.3195 0.8123 0.5000
Sm5 0.6805 0.1877 0.5000
Sm6 0.6877 0.1805 0.0000
Sm7 0.8123 0.6805 0.5000
Sm8 0.8195 0.6877 0.0000
Cu1 0.1204 0.6204 0.2500
Cu2 0.1204 0.6204 0.7500
Cu3 0.3796 0.1204 0.2500
Cu4 0.3796 0.1204 0.7500
Cu5 0.6204 0.8796 0.2500
Cu6 0.6204 0.8796 0.7500
Cu7 0.8796 0.3796 0.2500
Cu8 0.8796 0.3796 0.7500
Rh1 0.0000 0.0000 0.2180
Rh2 0.0000 0.0000 0.7820
Rh3 0.5000 0.5000 0.2820
Rh4 0.5000 0.5000 0.7180

Calculated values
- Mass density: 8.68 g/cm3
- Total moment: 0.000 μB/f.u.


x) The following is a DFT calculation (PBE) of Sm2Cu2Rh after structural relaxation.

Unit cell a=5.5128 b=5.5128 c=11.0337 alpha=112.64 beta=112.64 gamma=43.47
Fractional coordinates of all 10 atoms:
Sm1 0.0250 0.0250 0.3453
Sm2 0.1981 0.1981 0.1221
Sm3 0.8019 0.8019 0.8779
Sm4 0.9750 0.9750 0.6547
Cu1 0.3635 0.3635 0.4440
Cu2 0.4801 0.4801 0.1062
Cu3 0.5199 0.5199 0.8938
Cu4 0.6365 0.6365 0.5560
Rh1 0.2827 0.2827 0.6790
Rh2 0.7173 0.7173 0.3210

Calculated values
- Mass density: 8.39 g/cm3
- Total moment: 0.000 μB/f.u.


Q: Which of them is the most stable? A: x).


w) The following is a DFT calculation (PBE) of TbSmCuRh after structural relaxation.

Unit cell a=4.4125 b=3.8368 c=10.4901 alpha=90.00 beta=90.00 gamma=90.00
Fractional coordinates of all 8 atoms:
Tb1 0.0000 0.0000 0.0000
Tb2 0.0000 0.5000 0.5000
Sm1 0.5000 0.0000 0.2773
Sm2 0.5000 0.5000 0.7773
Cu1 0.0000 0.0000 0.7107
Cu2 0.0000 0.5000 0.2107
Rh1 0.5000 0.0000 0.5552
Rh2 0.5000 0.5000 0.0552

Calculated values
- Mass density: 8.90 g/cm3
- Total moment: 0.000 μB/f.u.


x) The following is a DFT calculation (PBE) of TbSmCuRh after structural relaxation.

Unit cell a=6.9928 b=6.9928 c=6.9928 alpha=90.00 beta=90.00 gamma=90.00
Fractional coordinates of all 16 atoms:
Tb1 0.0000 0.0000 0.0000
Tb2 0.0000 0.5000 0.5000
Tb3 0.5000 0.0000 0.5000
Tb4 0.5000 0.5000 0.0000
Sm1 0.0000 0.0000 0.5000
Sm2 0.0000 0.5000 0.0000
Sm3 0.5000 0.0000 0.0000
Sm4 0.5000 0.5000 0.5000
Cu1 0.2500 0.2500 0.7500
Cu2 0.2500 0.7500 0.2500
Cu3 0.7500 0.2500 0.2500
Cu4 0.7500 0.7500 0.7500
Rh1 0.2500 0.2500 0.2500
Rh2 0.2500 0.7500 0.7500
Rh3 0.7500 0.2500 0.7500
Rh4 0.7500 0.7500 0.2500

Calculated values
- Mass density: 9.24 g/cm3
- Total moment: 0.000 μB/f.u.


Q: Which of them is the most stable? A: w).


w) The following is a DFT calculation (PBE) of SmThCuRh after structural relaxation.

Unit cell a=7.1090 b=7.1090 c=7.1090 alpha=90.00 beta=90.00 gamma=90.00
Fractional coordinates of all 16 atoms:
Sm1 0.0000 0.0000 0.0000
Sm2 0.0000 0.5000 0.5000
Sm3 0.5000 0.0000 0.5000
Sm4 0.5000 0.5000 0.0000
Th1 0.0000 0.0000 0.5000
Th2 0.0000 0.5000 0.0000
Th3 0.5000 0.0000 0.0000
Th4 0.5000 0.5000 0.5000
Cu1 0.2500 0.2500 0.7500
Cu2 0.2500 0.7500 0.2500
Cu3 0.7500 0.2500 0.2500
Cu4 0.7500 0.7500 0.7500
Rh1 0.2500 0.2500 0.2500
Rh2 0.2500 0.7500 0.7500
Rh3 0.7500 0.2500 0.7500
Rh4 0.7500 0.7500 0.2500

Calculated values
- Mass density: 10.15 g/cm3
- Total moment: 0.000 μB/f.u.


x) The following is a DFT calculation (PBE) of SmThCuRh after structural relaxation.

Unit cell a=4.0687 b=3.9258 c=11.7591 alpha=90.00 beta=90.00 gamma=90.00
Fractional coordinates of all 8 atoms:
Sm1 0.0000 0.0000 0.0000
Sm2 0.0000 0.5000 0.5000
Th1 0.5000 0.0000 0.7279
Th2 0.5000 0.5000 0.2279
Cu1 0.5000 0.0000 0.4286
Cu2 0.5000 0.5000 0.9286
Rh1 0.0000 0.0000 0.2620
Rh2 0.0000 0.5000 0.7620

Calculated values
- Mass density: 9.70 g/cm3
- Total moment: 0.000 μB/f.u.


Q: Which of them is the most stable? A: x).


w) The following is a DFT calculation (PBE) of SmTmCuRh after structural relaxation.

Unit cell a=4.3893 b=3.7873 c=10.4211 alpha=90.00 beta=90.00 gamma=90.00
Fractional coordinates of all 8 atoms:
Sm1 0.0000 0.0000 0.0000
Sm2 0.0000 0.5000 0.5000
Tm1 0.5000 0.0000 0.2782
Tm2 0.5000 0.5000 0.7782
Cu1 0.5000 0.0000 0.5689
Cu2 0.5000 0.5000 0.0689
Rh1 0.0000 0.0000 0.7247
Rh2 0.0000 0.5000 0.2247

Calculated values
- Mass density: 9.31 g/cm3
- Total moment: 0.000 μB/f.u.


x) The following is a DFT calculation (PBE) of SmTmCuRh after structural relaxation.

Unit cell a=6.9323 b=6.9323 c=6.9323 alpha=90.00 beta=90.00 gamma=90.00
Fractional coordinates of all 16 atoms:
Sm1 0.0000 0.0000 0.0000
Sm2 0.0000 0.5000 0.5000
Sm3 0.5000 0.0000 0.5000
Sm4 0.5000 0.5000 0.0000
Tm1 0.0000 0.0000 0.5000
Tm2 0.0000 0.5000 0.0000
Tm3 0.5000 0.0000 0.0000
Tm4 0.5000 0.5000 0.5000
Cu1 0.2500 0.2500 0.7500
Cu2 0.2500 0.7500 0.2500
Cu3 0.7500 0.2500 0.2500
Cu4 0.7500 0.7500 0.7500
Rh1 0.2500 0.2500 0.2500
Rh2 0.2500 0.7500 0.7500
Rh3 0.7500 0.2500 0.7500
Rh4 0.7500 0.7500 0.2500

Calculated values
- Mass density: 9.68 g/cm3
- Total moment: 0.000 μB/f.u.


Q: Which of them is the most stable? A: w).


w) The following is a DFT calculation (PBE) of CuSn2Rh after structural relaxation.

Unit cell a=4.3674 b=4.3674 c=17.2979 alpha=90.00 beta=90.00 gamma=90.00
Fractional coordinates of all 16 atoms:
Cu1 0.0000 0.0000 0.0000
Cu2 0.0000 0.5000 0.2500
Cu3 0.5000 0.0000 0.7500
Cu4 0.5000 0.5000 0.5000
Sn1 0.2462 0.2500 0.1250
Sn2 0.2500 0.7462 0.3750
Sn3 0.2500 0.7538 0.8750
Sn4 0.2538 0.2500 0.6250
Sn5 0.7462 0.7500 0.6250
Sn6 0.7500 0.2462 0.8750
Sn7 0.7500 0.2538 0.3750
Sn8 0.7538 0.7500 0.1250
Rh1 0.0000 0.0000 0.5000
Rh2 0.0000 0.5000 0.7500
Rh3 0.5000 0.0000 0.2500
Rh4 0.5000 0.5000 0.0000

Calculated values
- Mass density: 8.13 g/cm3
- Total moment: 0.000 μB/f.u.


x) The following is a DFT calculation (PBE) of CuSn2Rh after structural relaxation.

Unit cell a=3.2487 b=3.2487 c=27.1528 alpha=90.00 beta=90.00 gamma=120.00
Fractional coordinates of all 12 atoms:
Cu1 0.0000 0.0000 0.0000
Cu2 0.3333 0.6667 0.6667
Cu3 0.6667 0.3333 0.3333
Sn1 0.0000 0.0000 0.0933
Sn2 0.0000 0.0000 0.9067
Sn3 0.3333 0.6667 0.5734
Sn4 0.3333 0.6667 0.7600
Sn5 0.6667 0.3333 0.2400
Sn6 0.6667 0.3333 0.4266
Rh1 0.0000 0.0000 0.5000
Rh2 0.3333 0.6667 0.1667
Rh3 0.6667 0.3333 0.8333

Calculated values
- Mass density: 8.11 g/cm3
- Total moment: 0.000 μB/f.u.


y) The following is a DFT calculation (PBE) of CuSn2Rh after structural relaxation.

Unit cell a=6.6134 b=6.6134 c=6.6134 alpha=90.00 beta=90.00 gamma=90.00
Fractional coordinates of all 16 atoms:
Cu1 0.0000 0.0000 0.0000
Cu2 0.0000 0.5000 0.5000
Cu3 0.5000 0.0000 0.5000
Cu4 0.5000 0.5000 0.0000
Sn1 0.2500 0.2500 0.2500
Sn2 0.2500 0.2500 0.7500
Sn3 0.2500 0.7500 0.2500
Sn4 0.2500 0.7500 0.7500
Sn5 0.7500 0.2500 0.2500
Sn6 0.7500 0.2500 0.7500
Sn7 0.7500 0.7500 0.2500
Sn8 0.7500 0.7500 0.7500
Rh1 0.0000 0.0000 0.5000
Rh2 0.0000 0.5000 0.0000
Rh3 0.5000 0.0000 0.0000
Rh4 0.5000 0.5000 0.5000

Calculated values
- Mass density: 9.27 g/cm3
- Total moment: 0.000 μB/f.u.


Q: Which of them is the most stable? A: y).